DFT (GGA-PBE) results for a geometry-optimized NbCr3Os structure.

N(E_F): 5.77 states/eV per cell
E above lowest polymorph: 0 meV per atom
Energy of formation from the pure elements: 1.4655 eV per atom

a = 4.443 Å, b = 4.443 Å, c = 4.443 Å
α = 90.00°, β = 90.00°, γ = 90.00°
Space group Pm-3m (No. 221)
Unique sites:
1 Nb 0.000 0.000 0.000 [1 per cell]
2 Cr 0.000 0.500 0.500 [3 per cell]
3 Os 0.500 0.500 0.500 [1 per cell]

=====

DFT (GGA-PBE) results for a geometry-optimized Ba2ReTc structure.

N(E_F): 11.11 states/eV per cell
E above lowest polymorph: 0 meV per atom
Energy of formation from the pure elements: 0.3756 eV per atom

a = 7.334 Å, b = 4.229 Å, c = 9.609 Å
α = 90.00°, β = 102.90°, γ = 90.00°
Space group Cm (No. 8)
Unique sites:
1 Ba 0.000 0.000 0.000 [2 per cell]
2 Ba 0.155 0.000 0.528 [2 per cell]
3 Re 0.407 0.000 0.249 [2 per cell]
4 Tc 0.249 0.500 0.279 [2 per cell]

=====

DFT (GGA-PBE) results for a geometry-optimized Li2MgHRh structure.

N(E_F): 0.60 states/eV per cell
E above lowest polymorph: 0 meV per atom

a = 3.958 Å, b = 3.958 Å, c = 3.867 Å
α = 90.00°, β = 90.00°, γ = 90.00°
Space group P4/mmm (No. 123)
Unique sites:
1 Li 0.000 0.500 0.000 [2 per cell]
2 Mg 0.000 0.000 0.500 [1 per cell]
3 H 0.500 0.500 0.000 [1 per cell]
4 Rh 0.500 0.500 0.500 [1 per cell]

=====

DFT (GGA-PBE) results for a geometry-optimized LaTb3Pb2 structure.

N(E_F): 29.38 states/eV per cell
E above lowest polymorph: 46 meV per atom
Energy of formation from the pure elements: -0.3610 eV per atom

a = 18.516 Å, b = 4.687 Å, c = 9.686 Å
α = 90.00°, β = 113.70°, γ = 90.00°
Space group C2/m (No. 12)
Unique sites:
1 La 0.115 0.000 0.136 [4 per cell]
2 Tb 0.058 0.000 0.687 [4 per cell]
3 Tb 0.141 0.500 0.483 [4 per cell]
4 Tb 0.194 0.500 0.886 [4 per cell]
5 Pb 0.012 0.500 0.849 [4 per cell]
6 Pb 0.242 0.000 0.706 [4 per cell]

=====

DFT (GGA-PBE) results for a geometry-optimized Li3Hg3Pb structure.

N(E_F): 5.03 states/eV per cell
E above lowest polymorph: 0 meV per atom
Energy of formation from the pure elements: -0.2869 eV per atom

a = 9.199 Å, b = 9.478 Å, c = 6.698 Å
α = 90.00°, β = 90.00°, γ = 90.00°
Space group Cmmm (No. 65)
Unique sites:
1 Li 0.000 0.000 0.237 [4 per cell]
2 Li 0.250 0.250 0.242 [8 per cell]
3 Hg 0.000 0.232 0.500 [4 per cell]
4 Hg 0.000 0.261 0.000 [4 per cell]
5 Hg 0.237 0.500 0.000 [4 per cell]
6 Pb 0.213 0.500 0.500 [4 per cell]

=====

DFT (GGA-PBE) results for a geometry-optimized CaGaRh2 structure.

N(E_F): 1.58 states/eV per cell
Energy of formation from the pure elements: -0.5163 eV per atom

a = 3.175 Å, b = 3.175 Å, c = 6.656 Å
α = 90.00°, β = 90.00°, γ = 90.00°
Space group P4/mmm (No. 123)
Unique sites:
1 Ca 0.000 0.000 0.000 [1 per cell]
2 Ga 0.000 0.000 0.500 [1 per cell]
3 Rh 0.500 0.500 0.291 [2 per cell]

=====

DFT (GGA-PBE) results for a geometry-optimized Pr4HoAl structure.

N(E_F): 33.29 states/eV per cell
Energy of formation from the pure elements: -0.0213 eV per atom

a = 9.057 Å, b = 14.228 Å, c = 6.424 Å
α = 90.00°, β = 109.28°, γ = 90.00°
Space group C2/c (No. 15)
Unique sites:
1 Pr 0.101 0.183 0.049 [8 per cell]
2 Pr 0.218 0.390 0.373 [8 per cell]
3 Ho 0.000 0.408 0.750 [4 per cell]
4 Al 0.000 0.000 0.250 [4 per cell]

=====

DFT (GGA-PBE) results for a geometry-optimized Pr4YTm structure.

N(E_F): 19.03 states/eV per cell
E above lowest polymorph: 0 meV per atom
Energy of formation from the pure elements: 0.0235 eV per atom

a = 5.186 Å, b = 15.464 Å, c = 5.188 Å
α = 90.00°, β = 90.00°, γ = 90.00°
Space group Cmmm (No. 65)
Unique sites:
1 Pr 0.000 0.165 0.000 [4 per cell]
2 Pr 0.000 0.335 0.500 [4 per cell]
3 Y 0.000 0.000 0.500 [2 per cell]
4 Tm 0.000 0.500 0.000 [2 per cell]

=====

DFT (GGA-PBE) results for a geometry-optimized TcAs2Br structure.

N(E_F): 3.68 states/eV per cell
Formation energy (no corrections): 0.739 eV per atom
E above lowest polymorph: 749 meV per atom

a = 3.191 Å, b = 4.607 Å, c = 4.839 Å
α = 90.00°, β = 90.00°, γ = 90.00°
Space group Pmmm (No. 47)
Unique sites:
1 Tc 0.000 0.000 0.000 [1 per cell]
2 As 0.000 0.500 0.500 [1 per cell]
3 As 0.500 0.000 0.500 [1 per cell]
4 Br 0.500 0.500 0.000 [1 per cell]

=====

DFT (GGA-PBE) results for a geometry-optimized Sm3HoSc2 structure.

N(E_F): 17.86 states/eV per cell
E above lowest polymorph: 0 meV per atom
Energy of formation from the pure elements: 0.0519 eV per atom

a = 6.952 Å, b = 7.009 Å, c = 7.775 Å
α = 102.95°, β = 103.16°, γ = 90.10°
Space group P-1 (No. 2)
Unique sites:
1 Sm 0.090 0.084 0.336 [2 per cell]
2 Sm 0.091 0.585 0.337 [2 per cell]
3 Sm 0.259 0.750 0.998 [2 per cell]
4 Ho 0.258 0.250 0.999 [2 per cell]
5 Sc 0.421 0.415 0.661 [2 per cell]
6 Sc 0.421 0.916 0.660 [2 per cell]

=====

DFT (GGA-PBE) results for a geometry-optimized Mg3Mo2H9 structure.

N(E_F): 28.39 states/eV per cell
Total energy: -4.07 eV/atom

a = 8.5558 Å, b = 8.5558 Å, c = 11.6126 Å
α = 90.00°, β = 90.00°, γ = 120.00°
Space group R-3c (No. 167, hexagonal axes)
Unique sites:
1 Mg 0.0000 0.3268 0.2500 [18 per cell]
2 Mo 0.0000 0.0000 0.1464 [12 per cell]
3 H 0.0000 0.1745 0.7500 [18 per cell]
4 H 0.0248 0.2063 0.4093 [36 per cell]

=====

DFT (GGA-PBE) results for a geometry-optimized NaCaCo2Cu structure.

N(E_F): 6.95 states/eV per cell
Energy of formation from the pure elements: 0.7945 eV per atom

a = 4.593 Å, b = 4.593 Å, c = 5.137 Å
α = 90.00°, β = 90.00°, γ = 90.00°
Space group P4/mmm (No. 123)
Unique sites:
1 Na 0.000 0.000 0.000 [1 per cell]
2 Ca 0.500 0.500 0.000 [1 per cell]
3 Co 0.000 0.500 0.500 [2 per cell]
4 Cu 0.500 0.500 0.500 [1 per cell]

=====

DFT (GGA-PBE) results for a geometry-optimized Sr2Li5Cu5 structure.

N(E_F): 3.68 states/eV per cell
Energy of formation from the pure elements: -0.0257 eV per atom

a = 4.363 Å, b = 5.741 Å, c = 9.189 Å
α = 90.00°, β = 90.00°, γ = 90.00°
Space group Pmmm (No. 47)
Unique sites:
1 Sr 0.000 0.000 0.000 [1 per cell]
2 Sr 0.000 0.500 0.500 [1 per cell]
3 Li 0.500 0.000 0.500 [1 per cell]
4 Li 0.500 0.258 0.240 [4 per cell]
5 Cu 0.000 0.000 0.351 [2 per cell]
6 Cu 0.000 0.500 0.140 [2 per cell]
7 Cu 0.500 0.500 0.000 [1 per cell]

=====

DFT (GGA-PBE) results for a geometry-optimized ThScNi2P2 structure.

N(E_F): 2.78 states/eV per cell
Energy of formation from the pure elements: -1.1825 eV per atom

a = 3.8983 Å, b = 3.8983 Å, c = 7.5699 Å
α = 90.00°, β = 90.00°, γ = 120.00°
Space group P-3m1 (No. 164)
Unique sites:
1 Th 0.0000 0.0000 0.0000 [1 per cell]
2 Sc 0.0000 0.0000 0.5000 [1 per cell]
3 Ni 0.3333 0.6667 0.7371 [2 per cell]
4 P 0.3333 0.6667 0.2733 [2 per cell]

=====

DFT (GGA-PBE) results for a geometry-optimized NaVSb structure.

N(E_F): 4.82 states/eV per cell
Formation energy (no corrections): -0.118 eV per atom
E above lowest polymorph: 0 meV per atom

a = 4.084 Å, b = 4.084 Å, c = 8.048 Å
α = 90.00°, β = 90.00°, γ = 90.00°
Space group P4/nmm (No. 129, origin choice 2)
Unique sites:
1 Na 0.250 0.250 0.141 [2 per cell]
2 V 0.250 0.750 0.500 [2 per cell]
3 Sb 0.250 0.250 0.724 [2 per cell]

=====

DFT (GGA-PBE) results for a geometry-optimized BaZn2 structure.

N(E_F): 8.43 states/eV per cell
Energy of formation from the pure elements: 0.2623 eV per atom

a = 7.711 Å, b = 7.711 Å, c = 7.711 Å
α = 90.00°, β = 90.00°, γ = 90.00°
Space group Pa-3 (No. 205)
Unique sites:
1 Ba 0.000 0.000 0.000 [4 per cell]
2 Zn 0.095 0.595 0.905 [8 per cell]

=====

DFT (GGA-PBE) results for a geometry-optimized CaYTa2 structure.

N(E_F): 10.80 states/eV per cell
E above lowest polymorph: 370 meV per atom
Energy of formation from the pure elements: 0.6470 eV per atom

a = 4.236 Å, b = 4.256 Å, c = 10.371 Å
α = 90.00°, β = 90.00°, γ = 90.00°
Space group Cmmm (No. 65)
Unique sites:
1 Ca 0.000 0.000 0.000 [2 per cell]
2 Y 0.000 0.000 0.500 [2 per cell]
3 Ta 0.000 0.500 0.262 [4 per cell]

=====

DFT (GGA-PBE) results for a geometry-optimized YHfAu structure.

N(E_F): 13.31 states/eV per cell
E above lowest polymorph: 191 meV per atom
Energy of formation from the pure elements: -0.2859 eV per atom

a = 4.834 Å, b = 8.413 Å, c = 6.869 Å
α = 90.00°, β = 90.00°, γ = 90.00°
Space group Cmcm (No. 63)
Unique sites:
1 Y 0.000 0.000 0.000 [4 per cell]
2 Hf 0.000 0.333 0.250 [4 per cell]
3 Au 0.000 0.334 0.750 [4 per cell]

=====

DFT (GGA-PBE) results for a geometry-optimized SrMgZr2C structure.

N(E_F): 4.04 states/eV per cell
Energy of formation from the pure elements: 2.2036 eV per atom

a = 5.101 Å, b = 5.101 Å, c = 5.759 Å
α = 90.00°, β = 90.00°, γ = 90.00°
Space group P4/mmm (No. 123)
Unique sites:
1 Sr 0.000 0.000 0.000 [1 per cell]
2 Mg 0.000 0.000 0.500 [1 per cell]
3 Zr 0.000 0.500 0.500 [2 per cell]
4 C 0.500 0.500 0.000 [1 per cell]

=====

DFT (GGA-PBE) results for a geometry-optimized MnBe2Sb2 structure.

N(E_F): 6.59 states/eV per cell
Formation energy (no corrections): 0.397 eV per atom
E above lowest polymorph: 0 meV per atom

a = 6.708 Å, b = 6.708 Å, c = 3.624 Å
α = 90.00°, β = 90.00°, γ = 90.00°
Space group P4/mbm (No. 127)
Unique sites:
1 Mn 0.000 0.000 0.000 [2 per cell]
2 Be 0.117 0.383 0.000 [4 per cell]
3 Sb 0.184 0.684 0.500 [4 per cell]

=====

DFT (GGA-PBE) results for a geometry-optimized YScCdSn structure.

N(E_F): 11.33 states/eV per cell
Energy of formation from the pure elements: -0.4675 eV per atom

a = 7.297 Å, b = 7.297 Å, c = 7.297 Å
α = 90.00°, β = 90.00°, γ = 90.00°
Space group F-43m (No. 216)
Unique sites:
1 Y 0.000 0.000 0.000 [4 per cell]
2 Sc 0.000 0.000 0.500 [4 per cell]
3 Cd 0.250 0.250 0.250 [4 per cell]
4 Sn 0.250 0.250 0.750 [4 per cell]

=====

DFT (GGA-PBE) results for a geometry-optimized Pa6TeAs3P2 structure.

N(E_F): 32.41 states/eV per cell
Formation energy (no corrections): -1.054 eV per atom

a = 17.760 Å, b = 4.051 Å, c = 8.281 Å
α = 90.00°, β = 102.26°, γ = 90.00°
Space group C2/m (No. 12)
Unique sites:
1 Pa 0.008 0.000 0.270 [4 per cell]
2 Pa 0.170 0.500 0.577 [4 per cell]
3 Pa 0.175 0.500 0.100 [4 per cell]
4 Te 0.000 0.500 0.000 [2 per cell]
5 As 0.000 0.500 0.500 [2 per cell]
6 As 0.160 0.000 0.833 [4 per cell]
7 P 0.169 0.000 0.336 [4 per cell]

=====

DFT (GGA-PBE) results for a geometry-optimized K4Sm3ThS8 structure.

N(E_F): 13.95 states/eV per cell
Formation energy (no corrections): -1.821 eV per atom

a = 8.2687 Å, b = 8.2687 Å, c = 22.2101 Å
α = 90.00°, β = 90.00°, γ = 120.00°
Space group R-3m (No. 166, hexagonal axes)
Unique sites:
1 K 0.0000 0.0000 0.0000 [3 per cell]
2 K 0.0000 0.5000 0.0000 [9 per cell]
3 Sm 0.0000 0.5000 0.5000 [9 per cell]
4 Th 0.0000 0.0000 0.5000 [3 per cell]
5 S 0.0000 0.0000 0.2358 [6 per cell]
6 S 0.0031 0.5015 0.2360 [18 per cell]